Density functional theory data (PBEsol) for a relaxed structure of CaSbMoSe2.

Computed properties:
Fermi-level density of states = 3.20 states/eV/cell
calculated total energy = -20.65 eV/cell

abc: 5.179 5.179 5.497
angles: 90.00 90.00 90.00
Space group P4/mmm (No. 123)
Asymmetric unit:
Ca 0.000 0.000 0.000 [1 per cell]
Sb 0.500 0.500 0.500 [1 per cell]
Mo 0.000 0.000 0.500 [1 per cell]
Se 0.000 0.500 0.000 [2 per cell]

=====

Density functional theory data (PBEsol) for a relaxed structure of Zr5Sc5Ga6.

Computed properties:
Fermi-level density of states = 28.36 states/eV/cell
E_form = -8.6 eV per formula unit

abc: 5.757 13.742 7.990
angles: 90.00 90.00 90.00
Space group Amm2 (No. 38)
Asymmetric unit:
Zr 0.000 0.000 0.000 [2 per cell]
Zr 0.000 0.118 0.646 [4 per cell]
Zr 0.500 0.119 0.880 [4 per cell]
Sc 0.250 0.167 0.261 [8 per cell]
Sc 0.500 0.000 0.522 [2 per cell]
Ga 0.000 0.000 0.361 [2 per cell]
Ga 0.000 0.200 0.962 [4 per cell]
Ga 0.500 0.000 0.157 [2 per cell]
Ga 0.500 0.200 0.563 [4 per cell]

=====

Density functional theory data (PBEsol) for a relaxed structure of LaTcAs2F.

Computed properties:
Fermi-level density of states = 4.56 states/eV/cell
calculated total energy = -29.08 eV/cell

abc: 4.655 4.655 4.509
angles: 90.00 90.00 90.00
Space group P4/mmm (No. 123)
Asymmetric unit:
La 0.000 0.000 0.000 [1 per cell]
Tc 0.500 0.500 0.000 [1 per cell]
As 0.000 0.500 0.500 [2 per cell]
F 0.000 0.000 0.500 [1 per cell]

=====

> Which value of Fermi-level density of states does entry 1 give?

3.20 states/eV/cell